1.
## NaSmGeO4 (PBE)

Data for an optimized crystal structure of NaSmGeO4.

The structure in extended XYZ format:
```
28
Lattice="5.3070 0.0000 0.0000 0.0000 11.6127 0.0001 0.0000 0.0000 6.5361" Properties=species:S:1:pos:R:3 pbc="T T T"
Ge 4.9678 10.5210 0.0020
Ge 0.3392 1.0917 3.2699
Ge 2.3143 6.8981 3.2700
Ge 2.9927 4.7147 0.0019
Na 2.6527 0.0042 1.6316
Na 2.6543 11.6085 4.8997
Na 5.3061 5.8021 4.8997
Na 0.0008 5.8106 1.6316
O 1.3923 10.3680 0.0008
O 4.1573 9.6490 5.1833
O 1.6484 5.2739 3.2683
O 3.6586 6.3388 0.0000
O 1.2611 4.5616 0.0007
O 3.8021 3.8432 1.3570
O 4.3019 0.5325 0.0000
O 1.5038 7.7701 1.9153
O 1.5049 7.7696 4.6251
O 1.1486 1.9632 4.6251
O 3.8032 3.8426 5.1833
O 1.0051 11.0803 3.2683
O 4.1584 9.6496 1.3570
O 4.0458 7.0511 3.2688
O 1.1498 1.9637 1.9152
O 3.9147 1.2448 3.2688
Sm 0.0116 2.5675 0.0025
Sm 5.2954 9.0453 3.2706
Sm 2.6651 3.2389 3.2706
Sm 2.6419 8.3739 0.0026
```

As for the energy: -189.93 eV for the cell shown.

---

2.
## NaTaGe2O6 (PBE)

Data for an optimized crystal structure of NaTaGe2O6.

The structure in extended XYZ format:
```
20
Lattice="-4.3892 5.2066 0.7323 -2.4132 -1.4522 6.2432 4.4518 2.4330 1.3435" Properties=species:S:1:pos:R:3 pbc="T T T"
O 1.6704 1.9698 5.0444
O -1.5742 4.5334 4.6493
O 1.0637 4.1709 3.2654
O -1.5236 5.2892 7.4899
O -3.9026 4.5887 6.3910
O -3.4142 2.0166 5.0537
O -0.7764 1.6540 3.6698
O -1.4596 3.7997 1.8513
O -0.8269 0.8983 0.8291
O 1.5521 1.5988 1.9280
O -0.8910 2.3877 6.4678
O -4.0209 4.2177 3.2747
Ge -2.4096 5.4579 5.9355
Ge 1.8629 3.3681 1.8784
Ge 0.0590 0.7296 2.3835
Ge -4.2135 2.8194 6.4406
Na -1.6560 0.3549 5.5869
Na -0.6946 5.8325 2.7321
Ta -2.4325 2.9715 3.4214
Ta 0.0819 3.2160 4.8976
```

As for the energy: -140.36 eV for the cell shown.

---

3.
## NaTbGe2O6 (PBE)

Data for an optimized crystal structure of NaTbGe2O6.

The structure in extended XYZ format:
```
20
Lattice="-3.9888 5.7766 0.4918 -4.8055 -2.7467 4.3456 4.2236 1.1888 3.5243" Properties=species:S:1:pos:R:3 pbc="T T T"
O -4.1289 4.4016 6.9417
O 0.6595 4.2494 3.7782
O -3.0999 0.8609 1.9041
O -1.4707 3.3578 6.4575
O -6.3777 2.3780 5.8258
O -3.6295 2.2738 4.9168
O -2.7071 4.8554 4.4051
O -5.2302 -0.0307 4.5834
O -1.8636 -0.6367 3.9566
O 1.8070 1.8407 2.5358
O -0.9412 1.9449 3.4449
O -0.4418 -0.1829 1.4199
Na -1.3798 0.8370 5.7716
Na -3.1908 3.3817 2.5901
Ge -3.0540 3.7866 5.7063
Ge -5.3101 1.6862 4.6251
Ge 0.7395 2.5325 3.7365
Ge -1.5166 0.4321 2.6554
Tb -3.6592 -1.5060 4.8000
Tb -0.9115 5.7247 3.5616
```

As for the energy: -134.09 eV for the cell shown.

---

4.
## NaTbGeO4 (PBE)

Data for an optimized crystal structure of NaTbGeO4.

The structure in extended XYZ format:
```
28
Lattice="-3.1459 -3.1783 -2.7866 -4.7134 4.3898 0.3144 3.7841 4.7576 -9.6982" Properties=species:S:1:pos:R:3 pbc="T T T"
Na -3.9296 0.6057 -1.2361
Na 1.8920 2.3788 -4.8491
Na -0.4647 4.5737 -4.6919
Na -1.5729 -1.5891 -1.3933
Ge -3.7572 3.4456 -5.2353
Ge -0.3180 2.5236 -6.9352
Ge -3.0810 4.5961 -11.1613
Ge -0.9943 1.3730 -1.0092
O -3.0603 -0.7028 -2.9993
O -0.4613 2.2459 -5.2077
O -2.7702 4.4313 -4.2009
O -0.5268 4.2978 -7.1828
O -2.1758 2.1646 -2.1184
O -5.5195 3.5070 -4.8562
O -3.6139 3.7232 -6.9628
O -1.3050 1.5378 -7.9696
O -3.8705 5.6402 -9.9206
O -1.0150 6.6719 -9.1712
O 1.4443 2.4621 -7.3143
O -5.9329 0.9130 -2.4919
O -0.2047 0.3289 -2.2499
O 1.8577 5.0561 -9.6785
O -1.8994 3.8045 -10.0521
O -3.5484 1.6713 -4.9876
Tb -1.6886 0.8417 -4.0004
Tb -5.8296 1.1817 -4.6948
Tb -2.3866 5.1274 -8.1700
Tb 1.7544 4.7875 -7.4757
```

As for the energy: -190.63 eV for the cell shown.

---

5.
## Na4Zr2Ge3O12 (PBE)

Data for an optimized crystal structure of Na4Zr2Ge3O12.

The structure in extended XYZ format:
```
42
Lattice="4.7433 -2.7386 -7.4121 4.7433 2.7386 7.4121 0.0000 -5.4771 7.4121" Properties=species:S:1:pos:R:3 pbc="T T T"
O 0.7286 -1.4227 1.7488
O 5.5288 -1.1023 7.8451
O 7.8903 0.0803 1.7488
O 5.3633 -1.2618 1.9442
O 8.5305 -1.5479 4.1103
O 1.5964 -5.5575 5.6634
O 4.1234 -4.2153 5.4679
O 5.7123 -4.0139 1.9442
O 7.6681 -5.4230 3.3018
O 6.3322 -2.5371 5.4679
O 5.7676 -4.2369 7.8451
O 2.9336 -2.8764 7.8451
O 1.8186 -0.0541 4.1103
O 3.1545 -2.9400 1.9442
O 0.9562 -3.9292 3.3018
O 3.7191 -1.2402 -0.4330
O 3.9579 -4.3748 -0.4330
O 3.7744 -1.4633 5.4679
O 5.6111 -6.8734 1.7488
O 8.7581 -4.0544 5.6633
O 3.8809 -6.6137 4.1103
O 6.5531 -2.6007 -0.4330
O 3.8756 1.3962 5.6634
O 5.6058 1.1365 3.3018
Na 3.5599 -5.4896 1.8094
Na 0.0000 0.0000 0.0000
Na 7.7175 -2.3879 1.8094
Na 2.9526 -0.3382 1.8094
Na 4.7433 -2.7386 3.7061
Na 5.9268 0.0124 5.6027
Na 6.5341 -5.1390 5.6027
Na 1.7692 -3.0892 5.6027
Zr 4.7434 -2.7386 6.9005
Zr 4.7433 -2.7386 11.6329
Zr 4.7434 -2.7386 -4.2208
Zr 4.7434 -2.7386 0.5116
Ge 6.6664 -5.4804 1.8633
Ge 3.3304 -5.7749 5.5488
Ge 6.1563 0.2978 1.8633
Ge 2.8203 0.0032 5.5489
Ge 1.4074 -3.0331 1.8633
Ge 8.0793 -2.4440 5.5488
```

As for the energy: -284.15 eV for the cell shown.

---

6.
## NaGe5Os3 (PBE)

Data for an optimized crystal structure of NaGe5Os3.

The structure in extended XYZ format:
```
9
Lattice="-0.3307 -3.5881 3.8654 4.1974 3.1977 -0.2848 -3.7139 5.2834 4.5868" Properties=species:S:1:pos:R:3 pbc="T T T"
Ge -1.6895 2.7541 6.0242
Ge -1.8570 2.6417 2.2934
Ge 0.3330 -0.1230 3.5265
Ge -0.1801 5.0161 4.6409
Ge 1.8423 2.1389 2.1431
Na 0.0000 0.0000 0.0000
Os 0.0764 2.4466 4.0837
Os -2.0223 0.8477 4.2261
Os 0.2417 4.2406 2.1510
```

As for the energy: -55.16 eV for the cell shown.

---

7.
## NaGeOs (PBE)

Data for an optimized crystal structure of NaGeOs.

The structure in extended XYZ format:
```
3
Lattice="-3.3851 -1.8934 1.7331 -3.7945 1.9063 -0.1221 -3.0751 -1.5469 -2.4896" Properties=species:S:1:pos:R:3 pbc="T T T"
Na -2.5637 -0.3835 -0.2197
Os -7.6910 -1.1504 -0.6590
Ge 0.0000 0.0000 0.0000
```

Its energy above the lowest structure with this stoichiometry is 0 meV/atom.

---

8.
## NaGeOs (PBE)

Data for an optimized crystal structure of NaGeOs.

The structure in extended XYZ format:
```
3
Lattice="0.0000 3.0581 3.0581 3.0581 0.0000 3.0581 3.0581 3.0581 0.0000" Properties=species:S:1:pos:R:3 pbc="T T T"
Os 4.5872 4.5872 4.5872
Na 0.0000 0.0000 0.0000
Ge 1.5290 1.5290 1.5290
```

Its energy above the lowest structure with this stoichiometry is 1049 meV/atom.

---

9.
## NaTaGeOs (PBE)

Data for an optimized crystal structure of NaTaGeOs.

The structure in extended XYZ format:
```
4
Lattice="0.0000 3.1959 3.1959 3.1959 0.0000 3.1959 3.1959 3.1959 0.0000" Properties=species:S:1:pos:R:3 pbc="T T T"
Os 0.0000 0.0000 0.0000
Na 4.7939 4.7939 4.7939
Ta 1.5980 1.5980 1.5980
Ge 3.1959 3.1959 3.1959
```

Its energy above the lowest structure with this stoichiometry is 216 meV/atom.

---

10.
## NaTaGeOs (PBE)

Data for an optimized crystal structure of NaTaGeOs.

The structure in extended XYZ format:
```
4
Lattice="0.0000 3.1565 3.1565 3.1565 0.0000 3.1565 3.1565 3.1565 0.0000" Properties=species:S:1:pos:R:3 pbc="T T T"
Na 4.7348 4.7348 4.7348
Os 1.5783 1.5783 1.5783
Ta 3.1565 3.1565 3.1565
Ge 0.0000 0.0000 0.0000
```

Its energy above the lowest structure with this stoichiometry is 0 meV/atom.

---

11.
## NaGePPd2 (PBE)

Data for an optimized crystal structure of NaGePPd2.

The structure in extended XYZ format:
```
5
Lattice="1.9372 3.7816 3.8579 -3.0456 4.8296 0.5800 -1.1317 -5.6258 -0.0783" Properties=species:S:1:pos:R:3 pbc="T T T"
Na -1.1075 8.6045 4.4344
Pd 0.1190 1.2828 3.0261
Pd -2.3724 1.8067 1.3872
P -0.4134 3.2118 1.6553
Ge -0.6824 5.3021 2.7325
```

As for the energy: -24.12 eV for the cell shown.

---

12.
## NaPaGe (PBE)

Data for an optimized crystal structure of NaPaGe.

The structure in extended XYZ format:
```
3
Lattice="0.0000 3.2913 3.2913 3.2913 0.0000 3.2913 3.2913 3.2913 0.0000" Properties=species:S:1:pos:R:3 pbc="T T T"
Pa 4.9369 4.9369 4.9369
Ge 1.6456 1.6456 1.6456
Na 0.0000 0.0000 0.0000
```

As for the energy: -13.29 eV for the cell shown.